1.
# YAuC | Alexandria via LeMat-Bulk | PBE | optimized geometry
# Formation energy: -0.40 eV per atom
# ρ: 8.49 Mg/m³
# Calculated total energy: -40.3 eV per cell
data_YAuC
_chemical_formula_sum 'Y2 Au2 C2'
_space_group_name_H-M_alt 'P -1'
_space_group_IT_number 2
_space_group_name_Hall '-P 1'
_cell_length_a 3.7424
_cell_length_b 4.1023
_cell_length_c 8.5403
_cell_angle_alpha 92.89
_cell_angle_beta 90.04
_cell_angle_gamma 117.12
loop_
_atom_site_label
_atom_site_type_symbol
_atom_site_fract_x
_atom_site_fract_y
_atom_site_fract_z
Y1 Y 0.1514 0.3014 0.1724
Au1 Au 0.1634 0.3265 0.5979
C1 C 0.4238 0.8476 0.0382

=====

2.
# LiAlC | Alexandria via LeMat-Bulk | PBE | optimized geometry
# Formation energy: 0.15 eV per atom
# ρ: 1.57 Mg/m³
# Calculated total energy: -86.5 eV per cell
data_LiAlC
_chemical_formula_sum 'Li6 Al6 C6'
_space_group_name_H-M_alt 'R -3 m'
_space_group_IT_number 166
_space_group_name_Hall '-R 3 2"'
_cell_length_a 4.3772
_cell_length_b 4.3772
_cell_length_c 17.5145
_cell_angle_alpha 90.00
_cell_angle_beta 90.00
_cell_angle_gamma 120.00
loop_
_atom_site_label
_atom_site_type_symbol
_atom_site_fract_x
_atom_site_fract_y
_atom_site_fract_z
Li1 Li 0.0000 0.0000 0.0906
Al1 Al 0.0000 0.0000 0.3503
C1 C 0.0000 0.0000 0.4638

=====

3.
# SmEr2Co | Alexandria via LeMat-Bulk | PBE | optimized geometry
# Formation energy: -0.16 eV per atom
# ρ: 8.84 Mg/m³
# Calculated total energy: -86.3 eV per cell
data_SmEr2Co
_chemical_formula_sum 'Sm4 Er8 Co4'
_space_group_name_H-M_alt 'P n m a'
_space_group_IT_number 62
_space_group_name_Hall '-P 2ac 2n'
_cell_length_a 6.9270
_cell_length_b 9.3848
_cell_length_c 6.2834
_cell_angle_alpha 90.00
_cell_angle_beta 90.00
_cell_angle_gamma 90.00
loop_
_atom_site_label
_atom_site_type_symbol
_atom_site_fract_x
_atom_site_fract_y
_atom_site_fract_z
Sm1 Sm 0.0426 0.2500 0.1390
Er1 Er 0.1721 0.0684 0.6764
Co1 Co 0.1135 0.7500 0.4437

=====

4.
# PuTh2Te | Alexandria via LeMat-Bulk | PBE | optimized geometry
# Energy relative to the elements, uncorrected: -0.309 eV/atom
# ρ: 11.76 Mg/m³
# Calculated total energy: -33.5 eV per cell
data_PuTh2Te
_chemical_formula_sum 'Pu1 Th2 Te1'
_space_group_name_H-M_alt 'P 4/m m m'
_space_group_IT_number 123
_space_group_name_Hall '-P 4 2'
_cell_length_a 4.0359
_cell_length_b 4.0359
_cell_length_c 7.2424
_cell_angle_alpha 90.00
_cell_angle_beta 90.00
_cell_angle_gamma 90.00
loop_
_atom_site_label
_atom_site_type_symbol
_atom_site_fract_x
_atom_site_fract_y
_atom_site_fract_z
Pu1 Pu 0.0000 0.0000 0.0000
Th1 Th 0.5000 0.5000 0.2511
Te1 Te 0.0000 0.0000 0.5000

=====

Q: The highest ρ belongs to which entry?
A: PuTh2Te

=====

Q: The highest calculated total energy belongs to which entry?
A: PuTh2Te

=====

What did the third record say?
# SmEr2Co | Alexandria via LeMat-Bulk | PBE | optimized geometry
# Formation energy: -0.16 eV per atom
# ρ: 8.84 Mg/m³
# Calculated total energy: -86.3 eV per cell
data_SmEr2Co
_chemical_formula_sum 'Sm4 Er8 Co4'
_space_group_name_H-M_alt 'P n m a'
_space_group_IT_number 62
_space_group_name_Hall '-P 2ac 2n'
_cell_length_a 6.9270
_cell_length_b 9.3848
_cell_length_c 6.2834
_cell_angle_alpha 90.00
_cell_angle_beta 90.00
_cell_angle_gamma 90.00
loop_
_atom_site_label
_atom_site_type_symbol
_atom_site_fract_x
_atom_site_fract_y
_atom_site_fract_z
Sm1 Sm 0.0426 0.2500 0.1390
Er1 Er 0.1721 0.0684 0.6764
Co1 Co 0.1135 0.7500 0.4437